The following is a DFT calculation (PBE-GGA) of a geometry-optimized PbAu2C2 structure.

## Properties
mass density: 10.78 g/cm³
relative energy among the computed polymorphs: 0.00 eV/f.u.

Unit cell a=7.977 b=7.977 c=3.027 alpha=90.00 beta=90.00 gamma=90.00
Space group P4/mbm (No. 127)
Asymmetric unit:
Pb 0.000 0.000 0.000 x2
Au 0.164 0.336 0.000 x4
C 0.059 0.559 0.500 x4

=====

The following is a DFT calculation (PBE-GGA) of a geometry-optimized TaSiOs2 structure.

## Properties
mass density: 16.43 g/cm³
ΔE_f (raw): -0.63 eV per formula unit

Unit cell a=2.839 b=4.147 c=5.225 alpha=90.00 beta=104.40 gamma=90.00
Space group Pm (No. 6)
Asymmetric unit:
Ta 0.000 0.000 0.000 x1
Si 0.410 0.500 0.767 x1
Os 0.327 0.000 0.521 x1
Os 0.697 0.500 0.275 x1

=====

The highest mass density belongs to which entry?
TaSiOs2

=====

Look up the mass density of the first one.
10.78 g/cm³